(1)
## AcNd3Ho8 (PBE-GGA)

Data for AcNd3Ho8 after structural relaxation.

It has space group Immm (No. 71), with a = 6.3704 Å, b = 11.4955 Å, c = 11.7325 Å, α = 90.00°, β = 90.00° and γ = 90.00°. The distinct sites, in fractional coordinates, are Ac at (0.0000, 0.0000, 0.0000), Nd at (0.0000, 0.2440, 0.5000), Nd at (0.0000, 0.5000, 0.0000), Ho at (0.0000, 0.2510, 0.1778) and Ho at (0.2471, 0.0000, 0.2586).

Its formation energy is 299 meV/atom.



(2)
## HfAg3Br2F6 (PBE-GGA)

Data for HfAg3Br2F6 after structural relaxation.

It has space group C2/m (No. 12), with a = 13.6132 Å, b = 6.7719 Å, c = 5.1036 Å, α = 90.00°, β = 90.52° and γ = 90.00°. The distinct sites, in fractional coordinates, are Hf at (0.0000, 0.0000, 0.0000), Ag at (0.0000, 0.5000, 0.5000), Ag at (0.2500, 0.2500, 0.0000), Br at (0.1882, 0.5000, 0.6517), F at (0.0556, 0.2153, 0.2299) and F at (0.1297, 0.0000, 0.8108).

As for the energy relative to the elements, uncorrected: -1.985 eV/atom.



(3)
## RbMo4 (PBE-GGA)

Data for RbMo4 after structural relaxation.

It has space group Pm-3m (No. 221), with a = 4.6065 Å, b = 4.6065 Å, c = 4.6065 Å, α = 90.00°, β = 90.00° and γ = 90.00°. The distinct sites, in fractional coordinates, are Rb at (0.0000, 0.0000, 0.0000), Mo at (0.0000, 0.0000, 0.5000) and Mo at (0.5000, 0.5000, 0.5000).

Its formation energy is 3387 meV/atom.



(4)
## Zr12Be3H5 (PBE-GGA)

Data for Zr12Be3H5 after structural relaxation.

It has space group Ia-3d (No. 230), with a = 13.7787 Å, b = 13.7787 Å, c = 13.7787 Å, α = 90.00°, β = 90.00° and γ = 90.00°. The distinct sites, in fractional coordinates, are Zr at (0.0316, 0.0591, 0.6531), Be at (0.0000, 0.2500, 0.1250), H at (0.0000, 0.0000, 0.0000) and H at (0.0000, 0.2500, 0.3750).

The total energy is -6.56 eV/atom.



(5)
## BiPN3 (PBE-GGA)

Data for BiPN3 after structural relaxation.

It has space group Pm-3m (No. 221), with a = 4.2605 Å, b = 4.2605 Å, c = 4.2605 Å, α = 90.00°, β = 90.00° and γ = 90.00°. The distinct sites, in fractional coordinates, are Bi at (0.0000, 0.0000, 0.0000), P at (0.5000, 0.5000, 0.5000) and N at (0.0000, 0.0000, 0.5000).

As for the energy relative to the elements, uncorrected: 2.493 eV/atom.



(6)
## CdTeW2 (PBE-GGA)

Data for CdTeW2 after structural relaxation.

It has space group I-42d (No. 122), with a = 4.0747 Å, b = 4.0747 Å, c = 20.1054 Å, α = 90.00°, β = 90.00° and γ = 90.00°. The distinct sites, in fractional coordinates, are Cd at (0.0000, 0.0000, 0.0000), Te at (0.0000, 0.0000, 0.5000) and W at (0.2000, 0.2500, 0.1250).

The energy relative to the lowest polymorph listed for this composition comes out at 582 meV/atom. As for the energy relative to the elements, uncorrected: 1.015 eV/atom.



(7)
## TbHfTlZn (PBE-GGA)

Data for TbHfTlZn after structural relaxation.

It has space group F-43m (No. 216), with a = 7.1324 Å, b = 7.1324 Å, c = 7.1324 Å, α = 90.00°, β = 90.00° and γ = 90.00°. The distinct sites, in fractional coordinates, are Tb at (0.0000, 0.0000, 0.0000), Hf at (0.0000, 0.0000, 0.5000), Tl at (0.2500, 0.2500, 0.2500) and Zn at (0.2500, 0.2500, 0.7500).

Its formation energy is -79 meV/atom.



(8)
## BaCu3As2 (PBE-GGA)

Data for BaCu3As2 after structural relaxation.

It has space group Immm (No. 71), with a = 4.1854 Å, b = 8.2048 Å, c = 14.8451 Å, α = 90.00°, β = 90.00° and γ = 90.00°. The distinct sites, in fractional coordinates, are Ba at (0.0000, 0.0000, 0.1612), Cu at (0.0000, 0.1466, 0.3859), Cu at (0.0000, 0.3424, 0.0000), As at (0.0000, 0.3435, 0.5000) and As at (0.0000, 0.5000, 0.1578).

The energy relative to the lowest polymorph listed for this composition comes out at 106 meV/atom. Its formation energy is -321 meV/atom.



(9)
## HoMg8Ag2 (PBE-GGA)

Data for HoMg8Ag2 after structural relaxation.

It has space group C2/m (No. 12), with a = 8.1735 Å, b = 12.5445 Å, c = 5.3055 Å, α = 90.00°, β = 107.12° and γ = 90.00°. The distinct sites, in fractional coordinates, are Ho at (0.0000, 0.0000, 0.0000), Mg at (0.0000, 0.2566, 0.0000), Mg at (0.0935, 0.5000, 0.7974), Mg at (0.1996, 0.1210, 0.5962) and Ag at (0.0000, 0.3075, 0.5000).

Its formation energy is -12 meV/atom.



(10)
## ErAlCl (PBE-GGA)

Data for ErAlCl after structural relaxation.

It has space group C2/m (No. 12), with a = 6.5975 Å, b = 3.8115 Å, c = 13.0479 Å, α = 90.00°, β = 104.59° and γ = 90.00°. The distinct sites, in fractional coordinates, are Er at (0.0581, 0.0000, 0.2818), Al at (0.1952, 0.0000, 0.5572) and Cl at (0.1739, 0.5000, 0.8495).

As for the energy relative to the elements, uncorrected: -1.072 eV/atom.



(11)
## CaGa2Ni2 (PBE-GGA)

Data for CaGa2Ni2 after structural relaxation.

It has space group I4/mmm (No. 139), with a = 4.0334 Å, b = 4.0334 Å, c = 10.4686 Å, α = 90.00°, β = 90.00° and γ = 90.00°. The distinct sites, in fractional coordinates, are Ca at (0.0000, 0.0000, 0.0000), Ga at (0.0000, 0.0000, 0.3725) and Ni at (0.0000, 0.5000, 0.2500).

Its formation energy is -429 meV/atom.



(12)
## CsCd7Ga2 (PBE-GGA)

Data for CsCd7Ga2 after structural relaxation.

It has space group Cmmm (No. 65), with a = 7.9641 Å, b = 17.6171 Å, c = 4.6839 Å, α = 90.00°, β = 90.00° and γ = 90.00°. The distinct sites, in fractional coordinates, are Cs at (0.0000, 0.0000, 0.0000), Cd at (0.0000, 0.2642, 0.0000), Cd at (0.0000, 0.5000, 0.5000), Cd at (0.1722, 0.1705, 0.5000) and Ga at (0.0000, 0.3494, 0.5000).

Its formation energy is 98 meV/atom.



Number 1: density of states at the Fermi level 34.8 states/eV/cell. Number 2: density of states at the Fermi level 18.9 states/eV/cell. Number 3: density of states at the Fermi level 6.2 states/eV/cell. Number 4: density of states at the Fermi level 180.5 states/eV/cell. Number 5: density of states at the Fermi level 2.5 states/eV/cell. Number 6: density of states at the Fermi level 13.1 states/eV/cell. Number 7: density of states at the Fermi level 12.6 states/eV/cell. Number 8: density of states at the Fermi level 6.1 states/eV/cell. Number 9: density of states at the Fermi level 9.7 states/eV/cell. Number 10: density of states at the Fermi level 5.9 states/eV/cell. Number 11: density of states at the Fermi level 5.5 states/eV/cell. Number 12: density of states at the Fermi level 7.9 states/eV/cell.